Record 1
Entry from the Alexandria database: crystalline Ba4SiAgI2 at its relaxed geometry (PBE).

Calculated values
**Formation energy (no corrections)**: -841 meV/atom
**Energy**: -3.224 eV per atom

Lattice parameters (Å, degrees): 8.4152 4.9056 9.0307 90.00 107.50 90.00
Space group P2/m (No. 10)
Symmetry-distinct sites (fractional):
Ba: 0.2246 0.0000 0.2066 (multiplicity 2)
Ba: 0.2450 0.5000 0.7832 (multiplicity 2)
Si: 0.0000 0.5000 0.0000 (multiplicity 1)
Ag: 0.5000 0.0000 0.0000 (multiplicity 1)
I: 0.0000 0.0000 0.5000 (multiplicity 1)
I: 0.5000 0.5000 0.5000 (multiplicity 1)

=====

Record 2
Entry from the Alexandria database: crystalline Mg6Te5O16 at its relaxed geometry (PBE).

Calculated values
**Formation energy (no corrections)**: -1845 meV/atom
**Energy**: -5.719 eV per atom

Lattice parameters (Å, degrees): 11.2060 10.4060 13.0682 90.00 90.00 90.00
Space group Pnma (No. 62)
Symmetry-distinct sites (fractional):
Mg: 0.0146 0.0734 0.1066 (multiplicity 8)
Mg: 0.2472 0.5683 0.0073 (multiplicity 8)
Mg: 0.2491 0.5914 0.2695 (multiplicity 8)
Te: 0.0089 0.5396 0.6353 (multiplicity 8)
Te: 0.0333 0.7500 0.1373 (multiplicity 4)
Te: 0.1967 0.7500 0.8185 (multiplicity 4)
Te: 0.2223 0.7500 0.5072 (multiplicity 4)
O: 0.0255 0.7500 0.8337 (multiplicity 4)
O: 0.0592 0.6109 0.0428 (multiplicity 8)
O: 0.0765 0.5153 0.2446 (multiplicity 8)
O: 0.1034 0.5432 0.4528 (multiplicity 8)
O: 0.1383 0.0769 0.6434 (multiplicity 8)
O: 0.1735 0.5555 0.8513 (multiplicity 8)
O: 0.1836 0.1110 0.0546 (multiplicity 8)
O: 0.1916 0.7500 0.1837 (multiplicity 4)
O: 0.2204 0.2500 0.4481 (multiplicity 4)
O: 0.2214 0.2500 0.8687 (multiplicity 4)

=====

Record 3
Entry from the Alexandria database: crystalline Na2ZnAg at its relaxed geometry (PBE).

Calculated values
**Energy of formation from the pure elements**: 6.4 kJ per mole of atoms
**Energy**: -1.624 eV per atom

Lattice parameters (Å, degrees): 4.5245 4.5245 4.3690 90.00 90.00 90.00
Space group P4/mmm (No. 123)
Symmetry-distinct sites (fractional):
Na: 0.0000 0.5000 0.0000 (multiplicity 2)
Zn: 0.0000 0.0000 0.5000 (multiplicity 1)
Ag: 0.5000 0.5000 0.5000 (multiplicity 1)